(1)
Cu3SnSe4: relaxed, GGA-PBE.

Properties
Crystal system: tetragonal

Lattice parameters (Å, degrees): 6.969 6.969 6.969 131.94 131.94 70.32
Atoms (fractional coordinates):
1 Cu 0.500 0.500 0.000
2 Cu 0.750 0.250 0.500
3 Cu 0.250 0.750 0.500
4 Se 0.867 0.399 0.000
5 Se 0.399 0.867 0.000
6 Se 0.601 0.601 0.468
7 Se 0.133 0.133 0.532
8 Sn 0.000 0.000 0.000

---

(2)
Pd17Pb: relaxed, GGA-PBE.

Properties
Crystal system: trigonal

Lattice parameters (Å, degrees): 5.550 5.550 31.939 90.00 90.00 120.00
Atoms (fractional coordinates):
1 Pb 0.333 0.667 0.203
2 Pb 0.000 0.000 0.797
3 Pd 0.334 0.167 0.215
4 Pd 0.833 0.167 0.215
5 Pd 0.833 0.666 0.215
6 Pd 0.168 0.335 0.286
7 Pd 0.168 0.832 0.286
8 Pd 0.665 0.832 0.286
9 Pd 0.667 0.333 0.287
10 Pd 0.001 0.500 0.358
11 Pd 0.500 0.500 0.358
12 Pd 0.500 0.999 0.358
13 Pd 0.000 0.000 0.358
14 Pd 0.334 0.167 0.429
15 Pd 0.833 0.167 0.429
16 Pd 0.833 0.666 0.429
17 Pd 0.333 0.667 0.429
18 Pd 0.167 0.333 0.500
19 Pd 0.167 0.833 0.500
20 Pd 0.667 0.833 0.500
21 Pd 0.667 0.333 0.500
22 Pd 0.000 0.000 0.571
23 Pd 0.500 0.000 0.571
24 Pd 0.500 0.500 0.571
25 Pd 0.000 0.500 0.571
26 Pd 0.333 0.667 0.642
27 Pd 0.333 0.166 0.642
28 Pd 0.834 0.166 0.642
29 Pd 0.834 0.667 0.642
30 Pd 0.667 0.333 0.713
31 Pd 0.166 0.331 0.714
32 Pd 0.166 0.834 0.714
33 Pd 0.669 0.834 0.714
34 Pd 0.500 0.001 0.785
35 Pd 0.999 0.500 0.785
36 Pd 0.500 0.500 0.785

---

| no. | V (Å³ per cell) | uncorrected energy (eV per atom) |
| --- | --- | --- |
| 1 | 184 | -3.924 |
| 2 | 852 | -5.077 |